# 1
VASP calculation (GGA-PBE) on crystalline TcS2O8 at its relaxed geometry.

a b c (Å): 6.256 6.256 4.702
angles (deg): 97.65 97.65 71.45
Fractional positions:
Tc (0.000, 0.000, 0.000)
S (0.189, 0.189, 0.655)
S (0.811, 0.811, 0.345)
O (0.046, 0.726, 0.228)
O (0.157, 0.157, 0.330)
O (0.274, 0.954, 0.772)
O (0.329, 0.329, 0.745)
O (0.671, 0.671, 0.255)
O (0.726, 0.046, 0.228)
O (0.843, 0.843, 0.670)
O (0.954, 0.274, 0.772)

Raw formation energy = -12.71 eV/f.u.
Space group = C2/m (12)
Total magnetization = 3.00 μB/cell
Relative energy among the computed polymorphs = 17 kJ/mol of formula units

# 2
VASP calculation (GGA-PBE) on crystalline TcSO2 at its relaxed geometry.

a b c (Å): 3.866 3.866 3.866
angles (deg): 60.00 60.00 60.00
Fractional positions:
Tc (0.000, 0.000, 0.000)
S (0.500, 0.500, 0.500)
O (0.250, 0.250, 0.250)
O (0.750, 0.750, 0.750)

Raw formation energy = 1.41 eV/f.u.
Space group = Fm-3m (225)
Total magnetization = 0.00 μB/cell
Relative energy among the computed polymorphs = 298 kJ/mol of formula units

> Among the records above, which one has the lowest total magnetization?

TcSO2

> The lowest total magnetization belongs to which entry?

TcSO2

> Look up the raw formation energy of the first one.

-12.71 eV/f.u.